[1]
A geometry-optimized Ti6Si3C structure. Source: Alexandria via LeMat-Bulk, functional PBE.

Structure (CIF):
```
data_Ti6Si3C
_symmetry_space_group_name_H-M 'P 1'
_symmetry_Int_Tables_number 1
_cell_length_a 5.9041
_cell_length_b 5.9041
_cell_length_c 6.8669
_cell_angle_alpha 122.07
_cell_angle_beta 122.07
_cell_angle_gamma 55.77
loop_
_symmetry_equiv_pos_as_xyz
'x,y,z'
loop_
_atom_site_label
_atom_site_type_symbol
_atom_site_fract_x
_atom_site_fract_y
_atom_site_fract_z
Ti1 Ti 0.1737 0.6810 0.6504
Ti2 Ti 0.2271 0.2271 0.8304
Ti3 Ti 0.3190 0.8263 0.3496
Ti4 Ti 0.6810 0.1737 0.6504
Ti5 Ti 0.7729 0.7729 0.1696
Ti6 Ti 0.8263 0.3190 0.3496
Si1 Si 0.2563 0.2563 0.2298
Si2 Si 0.5000 0.5000 0.0000
Si3 Si 0.7437 0.7437 0.7702
C1 C 0.0000 0.0000 0.5000
```

Calculated volume: 15.82 Å³ per atom
Space group: No. 12
Magnetic moment: 0.00 μB/f.u.
E_form (uncorrected): -372 meV per atom

[2]
A geometry-optimized NpPaSiTc structure. Source: Alexandria via LeMat-Bulk, functional PBE.

Structure (CIF):
```
data_NpPaSiTc
_symmetry_space_group_name_H-M 'P 1'
_symmetry_Int_Tables_number 1
_cell_length_a 4.7276
_cell_length_b 4.7276
_cell_length_c 4.7276
_cell_angle_alpha 60.00
_cell_angle_beta 60.00
_cell_angle_gamma 60.00
loop_
_symmetry_equiv_pos_as_xyz
'x,y,z'
loop_
_atom_site_label
_atom_site_type_symbol
_atom_site_fract_x
_atom_site_fract_y
_atom_site_fract_z
Np1 Np 0.0000 0.0000 0.0000
Pa1 Pa 0.7500 0.7500 0.7500
Si1 Si 0.2500 0.2500 0.2500
Tc1 Tc 0.5000 0.5000 0.5000
```

Calculated volume: 18.68 Å³ per atom
Space group: No. 216
Magnetic moment: 4.88 μB/f.u.
E_form (uncorrected): -59 meV per atom

[3]
A geometry-optimized BaMn2Al structure. Source: Alexandria via LeMat-Bulk, functional PBE.

Structure (CIF):
```
data_BaMn2Al
_symmetry_space_group_name_H-M 'P 1'
_symmetry_Int_Tables_number 1
_cell_length_a 3.1372
_cell_length_b 4.3195
_cell_length_c 6.9441
_cell_angle_alpha 90.00
_cell_angle_beta 100.47
_cell_angle_gamma 90.00
loop_
_symmetry_equiv_pos_as_xyz
'x,y,z'
loop_
_atom_site_label
_atom_site_type_symbol
_atom_site_fract_x
_atom_site_fract_y
_atom_site_fract_z
Ba1 Ba 0.0000 0.0000 0.0000
Mn1 Mn 0.2801 0.5000 0.6567
Mn2 Mn 0.7199 0.5000 0.3433
Al1 Al 0.5000 0.0000 0.5000
```

Calculated volume: 23.13 Å³ per atom
Space group: No. 10
Magnetic moment: 6.96 μB/f.u.
Formation energy from the elements: 0.470 eV/atom

[4]
A geometry-optimized Rb3PmTc2O9 structure. Source: Alexandria via LeMat-Bulk, functional PBE.

Structure (CIF):
```
data_Rb3PmTc2O9
_symmetry_space_group_name_H-M 'P 1'
_symmetry_Int_Tables_number 1
_cell_length_a 5.8749
_cell_length_b 5.8749
_cell_length_c 7.2929
_cell_angle_alpha 90.00
_cell_angle_beta 90.00
_cell_angle_gamma 120.00
loop_
_symmetry_equiv_pos_as_xyz
'x,y,z'
loop_
_atom_site_label
_atom_site_type_symbol
_atom_site_fract_x
_atom_site_fract_y
_atom_site_fract_z
Rb1 Rb 0.0000 0.0000 0.0000
Rb2 Rb 0.3333 0.6667 0.6716
Rb3 Rb 0.6667 0.3333 0.3284
Pm1 Pm 0.0000 0.0000 0.5000
Tc1 Tc 0.3333 0.6667 0.1567
Tc2 Tc 0.6667 0.3333 0.8433
O1 O 0.0000 0.5000 0.0000
O2 O 0.1818 0.3637 0.3049
O3 O 0.1818 0.8182 0.3049
O4 O 0.3637 0.1818 0.6951
O5 O 0.5000 0.0000 0.0000
O6 O 0.5000 0.5000 0.0000
O7 O 0.6363 0.8182 0.3049
O8 O 0.8182 0.1818 0.6951
O9 O 0.8182 0.6363 0.6951
```

Calculated volume: 14.53 Å³ per atom
Space group: No. 164
Magnetic moment: 0.00 μB/f.u.
E_form (uncorrected): -1806 meV per atom

[5]
A geometry-optimized Ru2RhPbO8 structure. Source: Alexandria via LeMat-Bulk, functional PBE.

Structure (CIF):
```
data_Ru2RhPbO8
_symmetry_space_group_name_H-M 'P 1'
_symmetry_Int_Tables_number 1
_cell_length_a 5.3076
_cell_length_b 5.3076
_cell_length_c 7.2213
_cell_angle_alpha 90.00
_cell_angle_beta 90.00
_cell_angle_gamma 120.00
loop_
_symmetry_equiv_pos_as_xyz
'x,y,z'
loop_
_atom_site_label
_atom_site_type_symbol
_atom_site_fract_x
_atom_site_fract_y
_atom_site_fract_z
Ru1 Ru 0.3333 0.6667 0.2270
Ru2 Ru 0.6667 0.3333 0.7730
Rh1 Rh 0.0000 0.0000 0.0000
Pb1 Pb 0.0000 0.0000 0.5000
O1 O 0.0234 0.3052 0.1790
O2 O 0.2817 0.9766 0.1790
O3 O 0.3052 0.2817 0.8210
O4 O 0.3333 0.6667 0.4753
O5 O 0.6667 0.3333 0.5247
O6 O 0.6948 0.7183 0.1790
O7 O 0.7183 0.0234 0.8210
O8 O 0.9766 0.6948 0.8210
```

Calculated volume: 14.68 Å³ per atom
Space group: No. 147
Magnetic moment: 2.11 μB/f.u.
E_form (uncorrected): -715 meV per atom

[6]
A geometry-optimized SiIBr3 structure. Source: Alexandria via LeMat-Bulk, functional PBE.

Structure (CIF):
```
data_SiIBr3
_symmetry_space_group_name_H-M 'P 1'
_symmetry_Int_Tables_number 1
_cell_length_a 5.2656
_cell_length_b 5.2656
_cell_length_c 5.2656
_cell_angle_alpha 90.00
_cell_angle_beta 90.00
_cell_angle_gamma 90.00
loop_
_symmetry_equiv_pos_as_xyz
'x,y,z'
loop_
_atom_site_label
_atom_site_type_symbol
_atom_site_fract_x
_atom_site_fract_y
_atom_site_fract_z
Si1 Si 0.0000 0.0000 0.0000
I1 I 0.5000 0.5000 0.5000
Br1 Br 0.0000 0.0000 0.5000
Br2 Br 0.0000 0.5000 0.0000
Br3 Br 0.5000 0.0000 0.0000
```

Calculated volume: 29.20 Å³ per atom
Space group: No. 221
Magnetic moment: 1.45 μB/f.u.
E_form (uncorrected): 46 meV per atom

[7]
A geometry-optimized LiYPt3 structure. Source: Alexandria via LeMat-Bulk, functional PBE.

Structure (CIF):
```
data_LiYPt3
_symmetry_space_group_name_H-M 'P 1'
_symmetry_Int_Tables_number 1
_cell_length_a 5.1825
_cell_length_b 5.1825
_cell_length_c 5.1825
_cell_angle_alpha 90.00
_cell_angle_beta 90.00
_cell_angle_gamma 90.00
loop_
_symmetry_equiv_pos_as_xyz
'x,y,z'
loop_
_atom_site_label
_atom_site_type_symbol
_atom_site_fract_x
_atom_site_fract_y
_atom_site_fract_z
Li1 Li 0.0000 0.0000 0.0000
Y1 Y 0.5000 0.5000 0.5000
Pt1 Pt 0.0000 0.5000 0.5000
Pt2 Pt 0.5000 0.0000 0.5000
Pt3 Pt 0.5000 0.5000 0.0000
```

Calculated volume: 27.84 Å³ per atom
Space group: No. 221
Magnetic moment: 0.00 μB/f.u.
Formation energy from the elements: 0.573 eV/atom

[8]
A geometry-optimized V2GeI6 structure. Source: Alexandria via LeMat-Bulk, functional PBE.

Structure (CIF):
```
data_V2GeI6
_symmetry_space_group_name_H-M 'P 1'
_symmetry_Int_Tables_number 1
_cell_length_a 8.4424
_cell_length_b 8.4424
_cell_length_c 10.2498
_cell_angle_alpha 108.10
_cell_angle_beta 108.10
_cell_angle_gamma 28.55
loop_
_symmetry_equiv_pos_as_xyz
'x,y,z'
loop_
_atom_site_label
_atom_site_type_symbol
_atom_site_fract_x
_atom_site_fract_y
_atom_site_fract_z
V1 V 0.1681 0.1681 0.3356
V2 V 0.8319 0.8319 0.6644
Ge1 Ge 0.5000 0.5000 0.0000
I1 I 0.1390 0.1390 0.0457
I2 I 0.2075 0.2075 0.6264
I3 I 0.4560 0.4560 0.6914
I4 I 0.5440 0.5440 0.3086
I5 I 0.7925 0.7925 0.3736
I6 I 0.8610 0.8610 0.9543
```

Calculated volume: 36.74 Å³ per atom
Space group: No. 12
Magnetic moment: 6.00 μB/f.u.
E_form (uncorrected): -403 meV per atom